DFT (PBE) results for a relaxed PuPaAs2 crystal.

Crystal system: orthorhombic
Energy relative to the lowest polymorph listed for this composition, meV per atom: 375
Total DFT energy (no corrections), eV for the cell shown: -71.7
E_form, eV/f.u.: -2.7

Cell: 3.9713 5.3858 10.1780 Å, 90.00 90.00 90.00°
Last column: nearest neighbours and their distance in Å.
Space group Pmmn (No. 59, origin choice 2)
One atom of each set of equivalent atoms:
Pu  0.2500  0.2500  0.1297 x2  2 As 2.93-2.99
Pa  0.2500  0.7500  0.3682 x2  6 As 2.75-2.92
As  0.2500  0.2500  0.4234 x2  4 Pa 2.75-2.91, 1 Pu 2.99
As  0.2500  0.2500  0.8416 x2  2 Pa 2.92, 1 Pu 2.93

DFT (PBE) results for a relaxed CsRb2CdP crystal.

Crystal system: tetragonal
Total DFT energy (no corrections), eV for the cell shown: -9.2
E_form, eV/f.u.: -0.1

Cell: 6.8572 6.8572 5.3429 Å, 90.00 90.00 90.00°
Last column: nearest neighbours and their distance in Å.
Space group P4/mmm (No. 123)
One atom of each set of equivalent atoms:
Cs  0.0000  0.0000  0.0000 x1  8 Rb 4.35, 4 Cd 4.85
Rb  0.0000  0.5000  0.5000 x2  2 P 3.43
Cd  0.5000  0.5000  0.0000 x1  2 P 2.67
P  0.5000  0.5000  0.5000 x1  2 Cd 2.67

DFT (PBE) results for a relaxed RbZnCd2 crystal.

Crystal system: tetragonal
Total DFT energy (no corrections), eV for the cell shown: -3.7
E_form, eV/f.u.: 0.4

Cell: 3.7189 3.7189 8.5708 Å, 90.00 90.00 90.00°
Last column: nearest neighbours and their distance in Å.
Space group P4/mmm (No. 123)
One atom of each set of equivalent atoms:
Rb  0.0000  0.0000  0.0000 x1  4 Rb 3.72, 8 Cd 3.82
Zn  0.0000  0.0000  0.5000 x1  8 Cd 3.04
Cd  0.5000  0.5000  0.3227 x2  4 Zn 3.04, 1 Cd 3.04

DFT (PBE) results for a relaxed CeThZnPb crystal.

Crystal system: cubic
Total DFT energy (no corrections), eV for the cell shown: -76.1
E_form, eV/f.u.: -0.7

Cell: 7.6296 7.6296 7.6296 Å, 90.00 90.00 90.00°
Last column: nearest neighbours and their distance in Å.
Space group F-43m (No. 216)
One atom of each set of equivalent atoms:
Ce  0.0000  0.0000  0.0000 x4  4 Zn 3.30, 4 Pb 3.30
Th  0.0000  0.0000  0.5000 x4  4 Pb 3.30, 4 Zn 3.30
Zn  0.2500  0.2500  0.7500 x4  4 Th 3.30, 4 Ce 3.30
Pb  0.2500  0.2500  0.2500 x4  4 Ce 3.30, 4 Th 3.30

DFT (PBE) results for a relaxed Nd4PdAu crystal.

Crystal system: tetragonal
Energy relative to the lowest polymorph listed for this composition, meV per atom: 0
Total DFT energy (no corrections), eV for the cell shown: -61.0
E_form, eV/f.u.: -2.9

Cell: 7.2161 7.2161 6.6070 Å, 90.00 90.00 90.00°
Last column: nearest neighbours and their distance in Å.
Space group P4/mcc (No. 124)
One atom of each set of equivalent atoms:
Nd  0.1701  0.3223  0.0000 x8  2 Pd 3.11, 2 Au 3.17
Pd  0.0000  0.0000  0.2500 x2  8 Nd 3.11, 2 Pd 3.30
Au  0.5000  0.5000  0.2500 x2  8 Nd 3.17, 2 Au 3.30

DFT (PBE) results for a relaxed Pm6Pr3Y2Er crystal.

Crystal system: monoclinic
Total DFT energy (no corrections), eV for the cell shown: -120.3
E_form, eV/f.u.: 0.2

Cell: 6.3192 10.9489 12.0563 Å, 90.00 100.07 90.00°
Last column: nearest neighbours and their distance in Å.
Space group C2/m (No. 12)
One atom of each set of equivalent atoms:
Pm  0.2482  0.1661  0.2452 x8  1 Er 3.59, 2 Y 3.59-3.60, 6 Pm 3.64-3.66, 3 Pr 3.68-3.69
Pm  0.2503  0.0000  0.7547 x4  1 Er 3.59, 2 Y 3.60, 6 Pm 3.64-3.66, 3 Pr 3.68-3.69
Pr  0.0000  0.1665  0.5000 x4  6 Pr 3.65, 6 Pm 3.68-3.69
Pr  0.0000  0.5000  0.5000 x2  6 Pr 3.65, 6 Pm 3.68-3.69
Y  0.0000  0.3334  0.0000 x4  6 Pm 3.59-3.60, 3 Er 3.65, 3 Y 3.65
Er  0.0000  0.0000  0.0000 x2  6 Pm 3.59, 6 Y 3.65

DFT (PBE) results for a relaxed Li4Cd4Hg crystal.

Crystal system: tetragonal
Total DFT energy (no corrections), eV for the cell shown: -27.4
E_form, eV/f.u.: -2.1

Cell: 9.5702 9.5702 3.7438 Å, 90.00 90.00 90.00°
Last column: nearest neighbours and their distance in Å.
Space group I4/mmm (No. 139)
One atom of each set of equivalent atoms:
Li  0.1651  0.1651  0.0000 x8  6 Cd 2.89-3.21, 2 Hg 2.92, 4 Li 2.96-3.16
Cd  0.0000  0.3244  0.5000 x8  6 Li 2.89-3.21, 4 Cd 3.03, 1 Hg 3.10
Hg  0.0000  0.0000  0.5000 x2  8 Li 2.92, 4 Cd 3.10

| no. | magnetic moment (μB/f.u.) |
| --- | --- |
| 1 | 7.0 |
| 2 | 0.4 |
| 3 | 0.0 |
| 4 | 1.4 |
| 5 | 0.0 |
| 6 | 0.0 |
| 7 | 0.0 |